Entry from the Alexandria database: CsWO3F after structural relaxation (PBE+U).

For the density, the calculation gives 4.40 g cm⁻³. The calculation puts the volume at 24.111 A^3/atom. Its space-group type is C2/c. The uncorrected energy comes out at -6.13 eV/atom. The crystal system is monoclinic.

Unit cell a=5.5714 b=5.5369 c=9.7792 alpha=73.55 beta=89.92 gamma=89.73
Closest atoms and distances in Å follow each position.
Element x y z (fractional)
W 0.2500 0.9695 0.0610  1 O 1.73
W 0.7500 0.0305 0.9390  1 O 1.73
O 0.2500 0.8771 0.2458  1 W 1.73
O 0.9990 0.2249 0.9999  2 W 1.95
O 0.4990 0.2248 0.0001  2 W 1.95
O 0.5010 0.7752 0.9999  2 W 1.95
O 0.7500 0.1229 0.7542  1 W 1.73
O 0.0010 0.7751 0.0001  2 W 1.95
Cs 0.7500 0.7402 0.5197  4 F 2.87-2.97
Cs 0.2500 0.2598 0.4803  4 F 2.87-2.97
F 0.7500 0.2977 0.4046  4 Cs 2.87-2.97
F 0.2500 0.7023 0.5954  4 Cs 2.87-2.97